[1]
AlBPS2 | meta-GGA SCAN | single point on PBEsol structure

Cell: 4.3277 4.3277 3.8323 Å, 90.00 90.00 90.00°
Space group P4/mmm (No. 123)
One atom of each set of equivalent atoms:
Al: 0.0000 0.0000 0.0000 (multiplicity 1)
B: 0.5000 0.5000 0.5000 (multiplicity 1)
P: 0.5000 0.5000 0.0000 (multiplicity 1)
S: 0.0000 0.5000 0.5000 (multiplicity 2)

Summary:
DOS at the Fermi energy, states/eV per cell: 2.5
E_form (uncorrected), eV/atom: 0.674
VASP energy, eV for the cell shown: -41.47
Polymorph energy (0 for the lowest one), eV/atom: 0.000

***

[2]
TaAs2Os | meta-GGA SCAN | single point on PBEsol structure

Cell: 3.3215 3.3215 5.7255 Å, 90.00 90.00 90.00°
Space group P4mm (No. 99)
One atom of each set of equivalent atoms:
Ta: 0.0000 0.0000 0.0000 (multiplicity 1)
As: 0.0000 0.0000 0.5016 (multiplicity 1)
As: 0.5000 0.5000 0.1915 (multiplicity 1)
Os: 0.5000 0.5000 0.6772 (multiplicity 1)

Summary:
DOS at the Fermi energy, states/eV per cell: 1.4
ΔH_f (0 K), meV per atom: -46
VASP energy, eV for the cell shown: -179.03

***

[3]
LiScTe | meta-GGA SCAN | single point on PBEsol structure

Cell: 6.5443 6.5443 6.5443 Å, 90.00 90.00 90.00°
Space group F-43m (No. 216)
One atom of each set of equivalent atoms:
Li: 0.0000 0.0000 0.0000 (multiplicity 4)
Sc: 0.0000 0.0000 0.5000 (multiplicity 4)
Te: 0.2500 0.2500 0.2500 (multiplicity 4)

Summary:
DOS at the Fermi energy, states/eV per cell: 7.9
E_form (uncorrected), eV/atom: -0.577
VASP energy, eV for the cell shown: -222.44
Polymorph energy (0 for the lowest one), eV/atom: 0.000

***

[4]
TiGaPS2 | meta-GGA SCAN | single point on PBEsol structure

Cell: 4.6000 4.6000 4.5335 Å, 90.00 90.00 90.00°
Space group P4/mmm (No. 123)
One atom of each set of equivalent atoms:
Ti: 0.0000 0.0000 0.0000 (multiplicity 1)
Ga: 0.5000 0.5000 0.5000 (multiplicity 1)
P: 0.5000 0.5000 0.0000 (multiplicity 1)
S: 0.0000 0.5000 0.5000 (multiplicity 2)

Summary:
DOS at the Fermi energy, states/eV per cell: 2.7
E_form (uncorrected), eV/atom: 0.337
VASP energy, eV for the cell shown: -60.35

***

[5]
ZnH2Pt2 | meta-GGA SCAN | single point on PBEsol structure

Cell: 5.4196 5.4196 3.5392 Å, 90.00 90.00 90.00°
Space group P4/mbm (No. 127)
One atom of each set of equivalent atoms:
Zn: 0.0000 0.0000 0.0000 (multiplicity 2)
H: 0.1498 0.3502 0.0000 (multiplicity 4)
Pt: 0.1784 0.3216 0.5000 (multiplicity 4)

Summary:
DOS at the Fermi energy, states/eV per cell: 4.4
VASP energy, eV for the cell shown: -323.16
Polymorph energy (0 for the lowest one), eV/atom: 0.000

***

[6]
KTcBr2 | meta-GGA SCAN | single point on PBEsol structure

Cell: 4.1279 4.1279 12.9313 Å, 90.00 90.00 90.00°
Space group I-4m2 (No. 119)
One atom of each set of equivalent atoms:
K: 0.0000 0.0000 0.0000 (multiplicity 2)
Tc: 0.0000 0.5000 0.2500 (multiplicity 2)
Br: 0.0000 0.0000 0.5000 (multiplicity 2)
Br: 0.0000 0.5000 0.7500 (multiplicity 2)

Summary:
DOS at the Fermi energy, states/eV per cell: 5.3
E_form (uncorrected), eV/atom: -0.065
VASP energy, eV for the cell shown: -165.13
Polymorph energy (0 for the lowest one), eV/atom: 0.274

***

[7]
LaZr2Cl | meta-GGA SCAN | single point on PBEsol structure

Cell: 7.0541 7.0541 7.0541 Å, 90.00 90.00 90.00°
Space group Fm-3m (No. 225)
One atom of each set of equivalent atoms:
La: 0.0000 0.0000 0.0000 (multiplicity 4)
Zr: 0.2500 0.2500 0.2500 (multiplicity 8)
Cl: 0.0000 0.0000 0.5000 (multiplicity 4)

Summary:
DOS at the Fermi energy, states/eV per cell: 25.2
E_form (uncorrected), eV/atom: 0.434
VASP energy, eV for the cell shown: -442.98
Polymorph energy (0 for the lowest one), eV/atom: 0.703

***

[8]
NdGaCo4 | meta-GGA SCAN | single point on PBEsol structure

Cell: 8.5477 8.5477 3.9637 Å, 90.00 90.00 120.00°
Space group P6/mmm (No. 191)
One atom of each set of equivalent atoms:
Nd: 0.0000 0.0000 0.0000 (multiplicity 1)
Nd: 0.3333 0.6667 0.0000 (multiplicity 2)
Ga: 0.0000 0.5000 0.5000 (multiplicity 3)
Co: 0.0000 0.3226 0.0000 (multiplicity 6)
Co: 0.1612 0.3223 0.5000 (multiplicity 6)

Summary:
DOS at the Fermi energy, states/eV per cell: 15.2
ΔH_f (0 K), meV per atom: -151
VASP energy, eV for the cell shown: -390.15
Polymorph energy (0 for the lowest one), eV/atom: 0.000

***

[9]
ReHgN2 | meta-GGA SCAN | single point on PBEsol structure

Cell: 8.4450 8.4450 8.4450 Å, 90.00 90.00 90.00°
Space group Fd-3m (No. 227, origin choice 2)
One atom of each set of equivalent atoms:
Re: 0.1250 0.1250 0.1250 (multiplicity 8)
Hg: 0.1250 0.1250 0.6250 (multiplicity 8)
N: 0.0000 0.0000 0.0000 (multiplicity 16)

Summary:
DOS at the Fermi energy, states/eV per cell: 8.4
E_form (uncorrected), eV/atom: 0.109
VASP energy, eV for the cell shown: -1259.28

***

[10]
Ni3Rh2 | meta-GGA SCAN | single point on PBEsol structure

Cell: 2.5929 3.5292 12.8253 Å, 90.00 90.00 90.00°
Space group Immm (No. 71)
One atom of each set of equivalent atoms:
Ni: 0.0000 0.0000 0.0000 (multiplicity 2)
Ni: 0.0000 0.0000 0.2015 (multiplicity 4)
Rh: 0.0000 0.0000 0.3982 (multiplicity 4)

Summary:
DOS at the Fermi energy, states/eV per cell: 9.2
ΔH_f (0 K), meV per atom: 27
VASP energy, eV for the cell shown: -231.85
Polymorph energy (0 for the lowest one), eV/atom: 0.000

***

[11]
CaMgScIn2 | meta-GGA SCAN | single point on PBEsol structure

Cell: 5.4096 5.4096 5.4427 Å, 90.00 90.00 90.00°
Space group P4/mmm (No. 123)
One atom of each set of equivalent atoms:
Ca: 0.0000 0.0000 0.0000 (multiplicity 1)
Mg: 0.5000 0.5000 0.0000 (multiplicity 1)
Sc: 0.5000 0.5000 0.5000 (multiplicity 1)
In: 0.0000 0.5000 0.5000 (multiplicity 2)

Summary:
DOS at the Fermi energy, states/eV per cell: 4.6
ΔH_f (0 K), meV per atom: 199
VASP energy, eV for the cell shown: -94.65

***

[12]
LaIn2Se | meta-GGA SCAN | single point on PBEsol structure

Cell: 4.7034 4.7034 9.0948 Å, 90.00 90.00 90.00°
Space group I-4m2 (No. 119)
One atom of each set of equivalent atoms:
La: 0.0000 0.0000 0.0000 (multiplicity 2)
In: 0.0000 0.0000 0.5000 (multiplicity 2)
In: 0.0000 0.5000 0.7500 (multiplicity 2)
Se: 0.0000 0.5000 0.2500 (multiplicity 2)

Summary:
DOS at the Fermi energy, states/eV per cell: 4.1
E_form (uncorrected), eV/atom: -0.759
VASP energy, eV for the cell shown: -265.98